The following is a GGA-PBEsol calculation of a geometry-optimized Ce2Sn5 structure, from Alexandria via LeMat-Bulk.

final energy = -154.69 eV/cell
total magnetic moment = 2.1 μB per cell
crystal system = orthorhombic
calculated density = 8.23 g/cm3
formation energy = -0.5976 eV/atom

Unit cell a=4.5424 b=33.8287 c=4.5913 alpha=90.00 beta=90.00 gamma=90.00
With the nearest neighbours (Å) after each atom.
Space group Cmmm (No. 65)
One atom of each set of equivalent atoms:
Ce1 0.0000 0.0693 0.0000 (multiplicity 4)  12 Sn 3.23-3.29
Ce2 0.0000 0.2040 0.0000 (multiplicity 4)  10 Sn 3.17-3.48
Sn1 0.0000 0.0000 0.5000 (multiplicity 2)  8 Sn 3.23-3.30, 4 Ce 3.28
Sn2 0.0000 0.1391 0.5000 (multiplicity 4)  4 Ce 3.18-3.29, 8 Sn 3.23-3.52
Sn3 0.0000 0.2813 0.5000 (multiplicity 4)  2 Sn 3.11, 4 Ce 3.27
Sn4 0.0000 0.3613 0.0000 (multiplicity 4)  4 Ce 3.17-3.27, 6 Sn 3.23-3.25
Sn5 0.0000 0.4294 0.5000 (multiplicity 4)  4 Ce 3.23, 8 Sn 3.24-3.31
Sn6 0.0000 0.5000 0.0000 (multiplicity 2)  8 Sn 3.23-3.31, 4 Ce 3.26

***

The following is a GGA-PBEsol calculation of a geometry-optimized Ce3Sn5 structure, from Alexandria via LeMat-Bulk.

final energy = -183.47 eV/cell
total magnetic moment = 8.7 μB per cell
crystal system = orthorhombic
calculated density = 8.10 g/cm3
formation energy = -0.5980 eV/atom

Unit cell a=10.0919 b=8.1195 c=10.1510 alpha=90.00 beta=90.00 gamma=90.00
With the nearest neighbours (Å) after each atom.
Space group Cmcm (No. 63)
One atom of each set of equivalent atoms:
Ce1 0.0000 0.1173 0.2500 (multiplicity 4)  7 Sn 3.06-3.28
Ce2 0.2075 0.5000 0.0000 (multiplicity 8)  10 Sn 3.20-3.40
Sn1 0.0000 0.1951 0.5447 (multiplicity 8)  4 Sn 3.03-3.30, 6 Ce 3.06-3.38
Sn2 0.0000 0.4939 0.7500 (multiplicity 4)  6 Sn 3.11-3.40, 5 Ce 3.16-3.29
Sn3 0.2168 0.2218 0.7500 (multiplicity 8)  3 Sn 3.03-3.11, 3 Ce 3.14-3.20

***

The following is a GGA-PBEsol calculation of a geometry-optimized Ce3Sn structure, from Alexandria via LeMat-Bulk.

final energy = -25.56 eV/cell
total magnetic moment = 2.0 μB per cell
crystal system = cubic
calculated density = 8.75 g/cm3
formation energy = -0.3796 eV/atom

Unit cell a=4.6772 b=4.6772 c=4.6772 alpha=90.00 beta=90.00 gamma=90.00
With the nearest neighbours (Å) after each atom.
Space group Pm-3m (No. 221)
One atom of each set of equivalent atoms:
Ce1 0.0000 0.0000 0.5000 (multiplicity 3)  4 Sn 3.31, 8 Ce 3.31
Sn1 0.5000 0.5000 0.5000 (multiplicity 1)  12 Ce 3.31

***

The following is a GGA-PBEsol calculation of a geometry-optimized CeZnSn structure, from Alexandria via LeMat-Bulk.

final energy = -27.62 eV/cell
total magnetic moment = 1.2 μB per cell
crystal system = hexagonal
calculated density = 7.93 g/cm3
formation energy = -0.4571 eV/atom

Unit cell a=4.6583 b=4.6583 c=7.2250 alpha=90.00 beta=90.00 gamma=120.00
With the nearest neighbours (Å) after each atom.
Space group P6_3/mmc (No. 194)
One atom of each set of equivalent atoms:
Ce1 0.0000 0.0000 0.0000 (multiplicity 2)  6 Zn 3.24, 6 Sn 3.24, 2 Ce 3.61
Zn1 0.3333 0.6667 0.2500 (multiplicity 2)  3 Sn 2.69
Sn1 0.3333 0.6667 0.7500 (multiplicity 2)  3 Zn 2.69

***

The following is a GGA-PBEsol calculation of a geometry-optimized Tb3Ce structure, from Alexandria via LeMat-Bulk.

final energy = -42.37 eV/cell
total magnetic moment = 1.6 μB per cell
crystal system = tetragonal
calculated density = 8.68 g/cm3
formation energy = 0.1098 eV/atom
excess energy over the best structure of this formula in the dataset = 0.022 eV/atom

Unit cell a=4.9034 b=4.9034 c=9.8120 alpha=90.00 beta=90.00 gamma=90.00
With the nearest neighbours (Å) after each atom.
Space group I4/mmm (No. 139)
One atom of each set of equivalent atoms:
Tb1 0.0000 0.0000 0.0000 (multiplicity 2)  4 Ce 3.47, 8 Tb 3.47
Tb2 0.0000 0.5000 0.2500 (multiplicity 4)  8 Tb 3.47, 4 Ce 3.47
Ce1 0.0000 0.0000 0.5000 (multiplicity 2)  12 Tb 3.47

***

The following is a GGA-PBEsol calculation of a geometry-optimized Tb3Ce structure, from Alexandria via LeMat-Bulk.

final energy = -21.28 eV/cell
total magnetic moment = 0.4 μB per cell
crystal system = hexagonal
calculated density = 8.75 g/cm3
formation energy = 0.0876 eV/atom
excess energy over the best structure of this formula in the dataset = 0.000 eV/atom

Unit cell a=3.4614 b=3.4614 c=11.2804 alpha=90.00 beta=90.00 gamma=120.00
With the nearest neighbours (Å) after each atom.
Space group P-6m2 (No. 187)
One atom of each set of equivalent atoms:
Tb1 0.0000 0.0000 0.0000 (multiplicity 1)  12 Tb 3.46-3.47
Tb2 0.3333 0.6667 0.2515 (multiplicity 2)  3 Ce 3.44, 9 Tb 3.46-3.47
Ce1 0.0000 0.0000 0.5000 (multiplicity 1)  6 Tb 3.44, 6 Ce 3.46